Here is crystalline MgNpGe2 at its relaxed geometry from Alexandria via LeMat-Bulk. Energies are from PBE.

a = 6.8835 Å, b = 6.8835 Å, c = 6.8835 Å
α = 90.00°, β = 90.00°, γ = 90.00°
Closest atoms and distances in Å follow each position.
Space group Fm-3m (No. 225)
Unique sites:
Mg 0.0000 0.0000 0.0000  8 Ge 2.98
Np 0.0000 0.0000 0.5000  8 Ge 2.98
Ge 0.2500 0.2500 0.2500  4 Mg 2.98, 4 Np 2.98

## Properties
**E above lowest polymorph**: 0.39 eV/f.u.
**E**: -6.035 eV per atom
**Formation energy**: -0.093 eV/atom
**Crystal system**: cubic
**Density of states at the Fermi level**: 31.31 states/eV/cell